Record 1
Below is CaIn3Pb6 after structural relaxation, with properties calculated at the PBE-GGA level.

Geometry as POSCAR:
```
CaIn3Pb6
1.0
4.971 0.000 0.000
0.000 10.905 -0.491
0.000 -0.224 11.138
Ca In Pb
2 6 12
Direct
0.250 0.942 0.612
0.750 0.058 0.388
0.250 0.555 0.405
0.750 0.445 0.595
0.250 0.345 0.799
0.750 0.655 0.201
0.250 0.747 0.007
0.750 0.253 0.993
0.250 0.451 0.102
0.750 0.549 0.898
0.250 0.158 0.197
0.750 0.842 0.803
0.250 0.641 0.701
0.750 0.359 0.299
0.250 0.248 0.509
0.750 0.752 0.491
0.250 0.850 0.301
0.750 0.150 0.699
0.250 0.050 0.906
0.750 0.950 0.094
```

## Properties
- Crystal system: monoclinic
- Space group: No. 11
- Formation energy: -0.07 eV/atom
- Total magnetization: 0.0 μB per formula unit

Record 2
Below is Ca4InPb after structural relaxation, with properties calculated at the PBE-GGA level.

Geometry as POSCAR:
```
Ca4InPb
1.0
-2.080 2.223 2.293
-6.612 -3.343 0.410
5.250 0.412 7.532
Ca In Pb
4 1 1
Direct
0.820 0.537 0.823
0.322 0.035 0.320
0.180 0.463 0.177
0.678 0.965 0.680
0.000 0.000 0.000
0.500 0.500 0.500
```

## Properties
- Crystal system: monoclinic
- Space group: No. 12
- Distance to the lowest polymorph of the same formula: 0.103 kcal/mol of atoms
- Formation energy: -0.35 eV/atom
- Total magnetization: 0.0 μB per formula unit

Record 3
Below is Ca2InPb after structural relaxation, with properties calculated at the PBE-GGA level.

Geometry as POSCAR:
```
Ca2InPb
1.0
-2.025 4.857 -2.003
-4.979 1.926 1.790
-0.233 4.538 3.325
Pb Ca In
1 2 1
Direct
0.750 0.750 0.750
0.000 0.000 0.000
0.250 0.250 0.250
0.500 0.500 0.500
```

## Properties
- Crystal system: cubic
- Space group: No. 216
- Formation energy: -0.20 eV/atom
- Total magnetization: 0.0 μB per formula unit

Record 4
Below is Ca2In3Pb3 after structural relaxation, with properties calculated at the PBE-GGA level.

Geometry as POSCAR:
```
Ca2In3Pb3
1.0
5.029 0.000 0.000
0.000 4.812 0.000
0.000 0.000 9.373
Ca In Pb
2 3 3
Direct
0.000 0.000 0.753
0.000 0.000 0.247
0.500 0.500 0.756
0.500 0.500 0.244
0.500 0.000 0.000
0.500 0.000 0.500
0.000 0.500 0.000
0.000 0.500 0.500
```

## Properties
- Crystal system: orthorhombic
- Space group: No. 47
- Formation energy: -0.32 eV/atom
- Total magnetization: 0.0 μB per formula unit

Record 5
Below is Ca4InPb15 after structural relaxation, with properties calculated at the PBE-GGA level.

Geometry as POSCAR:
```
Ca4InPb15
1.0
-4.760 0.024 1.536
-1.446 -1.763 -4.452
2.521 -22.665 8.159
Ca In Pb
4 1 15
Direct
0.000 0.000 0.205
0.000 0.000 0.400
0.000 0.000 0.600
0.000 0.000 0.795
0.000 0.000 0.000
0.500 0.500 0.000
0.500 0.500 0.200
0.500 0.500 0.400
0.500 0.500 0.600
0.500 0.500 0.800
0.500 0.000 0.101
0.500 0.000 0.301
0.500 0.000 0.500
0.500 0.000 0.699
0.500 0.000 0.899
0.000 0.500 0.101
0.000 0.500 0.301
0.000 0.500 0.500
0.000 0.500 0.699
0.000 0.500 0.899
```

## Properties
- Crystal system: tetragonal
- Space group: No. 123
- Formation energy: -0.23 eV/atom
- Total magnetization: 0.0 μB per formula unit

Record 6
Below is Ca8In2Pb after structural relaxation, with properties calculated at the PBE-GGA level.

Geometry as POSCAR:
```
Ca8In2Pb
1.0
5.216 -0.001 -1.586
-1.003 7.424 -3.302
0.043 -0.269 9.533
Ca In Pb
8 2 1
Direct
0.654 0.878 0.307
0.346 0.570 0.693
0.164 0.164 0.328
0.000 0.291 0.000
0.836 0.836 0.672
0.654 0.430 0.307
0.346 0.122 0.693
0.000 0.709 0.000
0.187 0.686 0.373
0.813 0.314 0.627
0.500 0.000 0.000
```

## Properties
- Crystal system: orthorhombic
- Space group: No. 71
- Distance to the lowest polymorph of the same formula: 0.869 kcal/mol of atoms
- Formation energy: -0.32 eV/atom
- Total magnetization: 0.0 μB per formula unit

Record 7
Below is Ca2InPb after structural relaxation, with properties calculated at the PBE-GGA level.

Geometry as POSCAR:
```
Ca2InPb
1.0
-2.617 -0.414 -4.838
-0.397 -4.895 -2.511
-4.875 -2.564 -0.288
Pb Ca In
1 2 1
Direct
0.250 0.250 0.250
0.500 0.500 0.500
0.000 0.000 0.000
0.750 0.750 0.750
```

## Properties
- Crystal system: cubic
- Space group: No. 225
- Formation energy: -0.49 eV/atom
- Total magnetization: 0.0 μB per formula unit

Record 8
Below is CaIn4Pb15 after structural relaxation, with properties calculated at the PBE-GGA level.

Geometry as POSCAR:
```
CaIn4Pb15
1.0
4.931 0.000 0.000
0.000 4.931 0.000
0.000 0.000 25.107
Ca In Pb
1 4 15
Direct
0.000 0.000 0.000
0.000 0.000 0.200
0.000 0.000 0.399
0.000 0.000 0.601
0.000 0.000 0.800
0.500 0.500 0.000
0.500 0.500 0.200
0.500 0.500 0.400
0.500 0.500 0.600
0.500 0.500 0.800
0.500 0.000 0.101
0.500 0.000 0.300
0.500 0.000 0.500
0.500 0.000 0.700
0.500 0.000 0.899
0.000 0.500 0.101
0.000 0.500 0.300
0.000 0.500 0.500
0.000 0.500 0.700
0.000 0.500 0.899
```

## Properties
- Crystal system: tetragonal
- Space group: No. 123
- Formation energy: -0.03 eV/atom
- Total magnetization: 0.0 μB per formula unit

Record 9
Below is CaIn15Pb4 after structural relaxation, with properties calculated at the PBE-GGA level.

Geometry as POSCAR:
```
CaIn15Pb4
1.0
-4.379 1.437 1.943
-0.195 -4.219 2.680
10.806 10.187 16.820
Ca In Pb
1 15 4
Direct
0.000 0.000 0.000
0.500 0.500 0.000
0.500 0.500 0.201
0.500 0.500 0.399
0.500 0.500 0.601
0.500 0.500 0.799
0.500 0.000 0.099
0.500 0.000 0.299
0.500 0.000 0.500
0.500 0.000 0.701
0.500 0.000 0.901
0.000 0.500 0.099
0.000 0.500 0.299
0.000 0.500 0.500
0.000 0.500 0.701
0.000 0.500 0.901
0.000 0.000 0.193
0.000 0.000 0.399
0.000 0.000 0.601
0.000 0.000 0.807
```

## Properties
- Crystal system: tetragonal
- Space group: No. 123
- Formation energy: -0.05 eV/atom
- Total magnetization: 0.0 μB per formula unit

Record 10
Below is Ca4In2Pb after structural relaxation, with properties calculated at the PBE-GGA level.

Geometry as POSCAR:
```
Ca4In2Pb
1.0
5.216 0.000 1.630
2.354 4.655 1.630
-0.074 -0.046 9.401
Pb Ca In
1 4 2
Direct
0.000 0.000 0.000
0.873 0.873 0.380
0.127 0.127 0.620
0.621 0.621 0.136
0.379 0.379 0.864
0.749 0.749 0.752
0.251 0.251 0.248
```

## Properties
- Crystal system: trigonal
- Space group: No. 166
- Formation energy: -0.38 eV/atom
- Total magnetization: 0.0 μB per formula unit

Record 11
Below is Ca5In2Pb5 after structural relaxation, with properties calculated at the PBE-GGA level.

Geometry as POSCAR:
```
Ca5In2Pb5
1.0
4.863 0.000 1.197
2.143 8.527 1.771
0.369 0.874 8.976
Ca In Pb
5 2 5
Direct
0.500 0.500 0.500
0.397 0.282 0.923
0.327 0.010 0.336
0.673 0.990 0.664
0.603 0.718 0.077
0.847 0.529 0.777
0.153 0.471 0.223
0.936 0.758 0.370
0.244 0.732 0.781
0.756 0.268 0.219
0.064 0.242 0.630
0.000 0.000 0.000
```

## Properties
- Crystal system: monoclinic
- Space group: No. 12
- Formation energy: -0.40 eV/atom
- Total magnetization: 0.0 μB per formula unit

Record 12
Below is CaIn2Pb3 after structural relaxation, with properties calculated at the PBE-GGA level.

Geometry as POSCAR:
```
CaIn2Pb3
1.0
6.398 -1.221 0.235
-1.980 6.206 0.235
-0.425 -0.480 9.419
Ca In Pb
2 4 6
Direct
0.127 0.873 0.250
0.873 0.127 0.750
0.124 0.382 0.079
0.618 0.876 0.421
0.876 0.618 0.921
0.382 0.124 0.579
0.872 0.627 0.586
0.373 0.128 0.914
0.128 0.373 0.414
0.627 0.872 0.086
0.613 0.387 0.250
0.387 0.613 0.750
```

## Properties
- Crystal system: monoclinic
- Space group: No. 15
- Distance to the lowest polymorph of the same formula: 0.078 kcal/mol of atoms
- Formation energy: -0.17 eV/atom
- Total magnetization: 0.0 μB per formula unit